Run A
# PBE PmAl2Pd, relaxed
data_PmAl2Pd
_space_group_name_H-M_alt 'P 4/m m m'
_space_group_IT_number 123
_space_group_name_Hall '-P 4 2'
_cell_length_a 3.226
_cell_length_b 3.226
_cell_length_c 7.409
_cell_angle_alpha 90.00
_cell_angle_beta 90.00
_cell_angle_gamma 90.00
loop_
_atom_site_label
_atom_site_type_symbol
_atom_site_fract_x
_atom_site_fract_y
_atom_site_fract_z
_atom_site_occupancy
Pm1 Pm 0.000 0.000 0.000 1
Al1 Al 0.500 0.500 0.308 1
Pd1 Pd 0.000 0.000 0.500 1
# Mass density (g/cm³): 6.576
# Spin magnetization (μB/cell): 0.0
# DOS(E_F) (states/eV/f.u.): 1.6
# Crystal system: tetragonal

=====

Run B
# PBE PmAl2Pd, relaxed
data_PmAl2Pd
_space_group_name_H-M_alt 'R -3 m'
_space_group_IT_number 166
_space_group_name_Hall '-R 3 2"'
_cell_length_a 4.2739
_cell_length_b 4.2739
_cell_length_c 15.9196
_cell_angle_alpha 90.00
_cell_angle_beta 90.00
_cell_angle_gamma 120.00
loop_
_atom_site_label
_atom_site_type_symbol
_atom_site_fract_x
_atom_site_fract_y
_atom_site_fract_z
_atom_site_occupancy
Pm1 Pm 0.0000 0.0000 0.0000 1
Al1 Al 0.0000 0.0000 0.2091 1
Pd1 Pd 0.0000 0.0000 0.5000 1
# Mass density (g/cm³): 6.041
# Spin magnetization (μB/cell): 0.0
# DOS(E_F) (states/eV/f.u.): 2.4
# Crystal system: trigonal

=====

Run C
# PBE PmAl2Pd, relaxed
data_PmAl2Pd
_space_group_name_H-M_alt 'C m c m'
_space_group_IT_number 63
_space_group_name_Hall '-C 2c 2'
_cell_length_a 4.293
_cell_length_b 10.755
_cell_length_c 7.005
_cell_angle_alpha 90.00
_cell_angle_beta 90.00
_cell_angle_gamma 90.00
loop_
_atom_site_label
_atom_site_type_symbol
_atom_site_fract_x
_atom_site_fract_y
_atom_site_fract_z
_atom_site_occupancy
Pm1 Pm 0.000 0.065 0.250 1
Al1 Al 0.000 0.347 0.055 1
Pd1 Pd 0.000 0.214 0.750 1
# Mass density (g/cm³): 6.272
# Spin magnetization (μB/cell): 0.0
# DOS(E_F) (states/eV/f.u.): 2.6
# Crystal system: orthorhombic

=====

Run D
# PBE PmAl2Pd, relaxed
data_PmAl2Pd
_space_group_name_H-M_alt 'P n m a'
_space_group_IT_number 62
_space_group_name_Hall '-P 2ac 2n'
_cell_length_a 16.065
_cell_length_b 6.966
_cell_length_c 5.758
_cell_angle_alpha 90.00
_cell_angle_beta 90.00
_cell_angle_gamma 90.00
loop_
_atom_site_label
_atom_site_type_symbol
_atom_site_fract_x
_atom_site_fract_y
_atom_site_fract_z
_atom_site_occupancy
Pm1 Pm 0.106 0.250 0.249 1
Pm2 Pm 0.142 0.750 0.020 1
Al1 Al 0.038 0.056 0.738 1
Al2 Al 0.213 0.556 0.533 1
Pd1 Pd 0.072 0.750 0.504 1
Pd2 Pd 0.179 0.250 0.771 1
# Mass density (g/cm³): 6.296
# Spin magnetization (μB/cell): 0.0
# DOS(E_F) (states/eV/f.u.): 2.7
# Crystal system: orthorhombic

=====

Which of them is least stable? Easy: run A.

=====

Run A
# PBE Pm3AlPd3, relaxed
data_Pm3AlPd3
_space_group_name_H-M_alt 'C m c m'
_space_group_IT_number 63
_space_group_name_Hall '-C 2c 2'
_cell_length_a 4.166
_cell_length_b 10.700
_cell_length_c 14.456
_cell_angle_alpha 90.00
_cell_angle_beta 90.00
_cell_angle_gamma 90.00
loop_
_atom_site_label
_atom_site_type_symbol
_atom_site_fract_x
_atom_site_fract_y
_atom_site_fract_z
_atom_site_occupancy
Pm1 Pm 0.000 0.007 0.250 1
Pm2 Pm 0.000 0.286 0.103 1
Al1 Al 0.000 0.000 0.000 1
Pd1 Pd 0.000 0.275 0.750 1
Pd2 Pd 0.000 0.428 0.590 1
# Mass density (g/cm³): 8.052
# Spin magnetization (μB/cell): 0.0
# DOS(E_F) (states/eV/f.u.): 5.4
# Crystal system: orthorhombic

=====

Run B
# PBE Pm3AlPd3, relaxed
data_Pm3AlPd3
_space_group_name_H-M_alt 'P 63/m'
_space_group_IT_number 176
_space_group_name_Hall '-P 6c'
_cell_length_a 8.6903
_cell_length_b 8.6903
_cell_length_c 5.8187
_cell_angle_alpha 90.00
_cell_angle_beta 90.00
_cell_angle_gamma 120.00
loop_
_atom_site_label
_atom_site_type_symbol
_atom_site_fract_x
_atom_site_fract_y
_atom_site_fract_z
_atom_site_occupancy
Pm1 Pm 0.0571 0.3698 0.2500 1
Al1 Al 0.3333 0.6667 0.7500 1
Pd1 Pd 0.0607 0.3662 0.7500 1
# Mass density (g/cm³): 6.818
# Spin magnetization (μB/cell): 0.0
# DOS(E_F) (states/eV/f.u.): 4.4
# Crystal system: hexagonal

=====

Which of them is least stable? Easy: run B.

=====

Run A
# PBE Pm2AlPd2, relaxed
data_Pm2AlPd2
_space_group_name_H-M_alt 'I b a m'
_space_group_IT_number 72
_space_group_name_Hall '-I 2 2c'
_cell_length_a 7.366
_cell_length_b 11.169
_cell_length_c 5.902
_cell_angle_alpha 90.00
_cell_angle_beta 90.00
_cell_angle_gamma 90.00
loop_
_atom_site_label
_atom_site_type_symbol
_atom_site_fract_x
_atom_site_fract_y
_atom_site_fract_z
_atom_site_occupancy
Pm1 Pm 0.160 0.151 0.000 1
Al1 Al 0.000 0.500 0.250 1
Pd1 Pd 0.247 0.399 0.000 1
# Mass density (g/cm³): 7.247
# Spin magnetization (μB/cell): 0.0
# DOS(E_F) (states/eV/f.u.): 3.5
# Crystal system: orthorhombic

=====

Run B
# PBE Pm2AlPd2, relaxed
data_Pm2AlPd2
_space_group_name_H-M_alt 'I m m m'
_space_group_IT_number 71
_space_group_name_Hall '-I 2 2'
_cell_length_a 4.409
_cell_length_b 5.729
_cell_length_c 8.830
_cell_angle_alpha 90.00
_cell_angle_beta 90.00
_cell_angle_gamma 90.00
loop_
_atom_site_label
_atom_site_type_symbol
_atom_site_fract_x
_atom_site_fract_y
_atom_site_fract_z
_atom_site_occupancy
Pm1 Pm 0.000 0.000 0.201 1
Al1 Al 0.000 0.500 0.000 1
Pd1 Pd 0.000 0.257 0.500 1
# Mass density (g/cm³): 7.889
# Spin magnetization (μB/cell): 0.0
# DOS(E_F) (states/eV/f.u.): 3.4
# Crystal system: orthorhombic

=====

Which of them is least stable? Easy: run A.

=====

Run A
# PBE Pm8Al2Pd, relaxed
data_Pm8Al2Pd
_space_group_name_H-M_alt 'I m m m'
_space_group_IT_number 71
_space_group_name_Hall '-I 2 2'
_cell_length_a 5.387
_cell_length_b 7.081
_cell_length_c 16.579
_cell_angle_alpha 90.00
_cell_angle_beta 90.00
_cell_angle_gamma 90.00
loop_
_atom_site_label
_atom_site_type_symbol
_atom_site_fract_x
_atom_site_fract_y
_atom_site_fract_z
_atom_site_occupancy
Pm1 Pm 0.000 0.000 0.196 1
Pm2 Pm 0.000 0.236 0.366 1
Pm3 Pm 0.000 0.257 0.000 1
Al1 Al 0.000 0.500 0.185 1
Pd1 Pd 0.000 0.500 0.500 1
# Mass density (g/cm³): 6.934
# Spin magnetization (μB/cell): 0.0
# DOS(E_F) (states/eV/f.u.): 12.1
# Crystal system: orthorhombic

=====

Run B
# PBE Pm8Al2Pd, relaxed
data_Pm8Al2Pd
_space_group_name_H-M_alt 'C 1 2/m 1'
_space_group_IT_number 12
_space_group_name_Hall '-C 2y'
_cell_length_a 18.864
_cell_length_b 5.130
_cell_length_c 6.835
_cell_angle_alpha 90.00
_cell_angle_beta 102.47
_cell_angle_gamma 90.00
loop_
_atom_site_label
_atom_site_type_symbol
_atom_site_fract_x
_atom_site_fract_y
_atom_site_fract_z
_atom_site_occupancy
Pm1 Pm 0.021 0.000 0.274 1
Pm2 Pm 0.094 0.500 0.962 1
Pm3 Pm 0.153 0.500 0.472 1
Pm4 Pm 0.208 0.000 0.801 1
Al1 Al 0.188 0.000 0.249 1
Pd1 Pd 0.000 0.500 0.500 1
# Mass density (g/cm³): 6.789
# Spin magnetization (μB/cell): 0.0
# DOS(E_F) (states/eV/f.u.): 10.7
# Crystal system: monoclinic

=====

Which of them is least stable? Easy: run A.

=====

Run A
# PBE Pm2AlPd3, relaxed
data_Pm2AlPd3
_space_group_name_H-M_alt 'P 63/m m c'
_space_group_IT_number 194
_space_group_name_Hall '-P 6c 2c'
_cell_length_a 5.6823
_cell_length_b 5.6823
_cell_length_c 8.4651
_cell_angle_alpha 90.00
_cell_angle_beta 90.00
_cell_angle_gamma 120.00
loop_
_atom_site_label
_atom_site_type_symbol
_atom_site_fract_x
_atom_site_fract_y
_atom_site_fract_z
_atom_site_occupancy
Pm1 Pm 0.3333 0.6667 0.0583 1
Al1 Al 0.0000 0.0000 0.0000 1
Pd1 Pd 0.1667 0.3335 0.7500 1
# Mass density (g/cm³): 8.927
# Spin magnetization (μB/cell): 0.0
# DOS(E_F) (states/eV/f.u.): 5.0
# Crystal system: hexagonal

=====

Run B
# PBE Pm2AlPd3, relaxed
data_Pm2AlPd3
_space_group_name_H-M_alt 'I m m m'
_space_group_IT_number 71
_space_group_name_Hall '-I 2 2'
_cell_length_a 4.351
_cell_length_b 5.532
_cell_length_c 11.095
_cell_angle_alpha 90.00
_cell_angle_beta 90.00
_cell_angle_gamma 90.00
loop_
_atom_site_label
_atom_site_type_symbol
_atom_site_fract_x
_atom_site_fract_y
_atom_site_fract_z
_atom_site_occupancy
Pm1 Pm 0.000 0.000 0.184 1
Al1 Al 0.000 0.000 0.500 1
Pd1 Pd 0.000 0.500 0.124 1
Pd2 Pd 0.000 0.500 0.500 1
# Mass density (g/cm³): 7.911
# Spin magnetization (μB/cell): 0.0
# DOS(E_F) (states/eV/f.u.): 2.9
# Crystal system: orthorhombic

=====

Which of them is least stable? Easy: run B.

=====

Run A
# PBE PmPrAlPd, relaxed
data_PmPrAlPd
_space_group_name_H-M_alt 'A m m 2'
_space_group_IT_number 38
_space_group_name_Hall 'A 2 -2'
_cell_length_a 4.319
_cell_length_b 4.486
_cell_length_c 10.777
_cell_angle_alpha 90.00
_cell_angle_beta 90.00
_cell_angle_gamma 90.00
loop_
_atom_site_label
_atom_site_type_symbol
_atom_site_fract_x
_atom_site_fract_y
_atom_site_fract_z
_atom_site_occupancy
Pm1 Pm 0.000 0.000 0.000 1
Pr1 Pr 0.500 0.000 0.710 1
Al1 Al 0.000 0.000 0.294 1
Pd1 Pd 0.500 0.000 0.431 1
# Mass density (g/cm³): 6.668
# Spin magnetization (μB/cell): 0.0
# DOS(E_F) (states/eV/f.u.): 4.3
# Crystal system: orthorhombic

=====

Run B
# PBE PmPrAlPd, relaxed
data_PmPrAlPd
_space_group_name_H-M_alt 'F -4 3 m'
_space_group_IT_number 216
_space_group_name_Hall 'F -4 2 3'
_cell_length_a 7.405
_cell_length_b 7.405
_cell_length_c 7.405
_cell_angle_alpha 90.00
_cell_angle_beta 90.00
_cell_angle_gamma 90.00
loop_
_atom_site_label
_atom_site_type_symbol
_atom_site_fract_x
_atom_site_fract_y
_atom_site_fract_z
_atom_site_occupancy
Pm1 Pm 0.000 0.000 0.000 1
Pr1 Pr 0.000 0.000 0.500 1
Al1 Al 0.250 0.250 0.750 1
Pd1 Pd 0.250 0.250 0.250 1
# Mass density (g/cm³): 6.859
# Spin magnetization (μB/cell): 0.0
# DOS(E_F) (states/eV/f.u.): 4.0
# Crystal system: cubic

=====

Which of them is least stable? Easy: run B.